DFT (PBE) results for a relaxed MnCd2Cl2 crystal.

Computed properties:
E above lowest polymorph: 0.000 eV per atom
raw formation energy: -0.32 eV/atom
DOS at the Fermi energy: 1.00 states/eV/f.u.

```
data_MnCd2Cl2
_chemical_formula_sum 'Mn2 Cd4 Cl4'
_cell_length_a 6.4878
_cell_length_b 6.4878
_cell_length_c 6.5185
_cell_angle_alpha 90.00
_cell_angle_beta 90.00
_cell_angle_gamma 90.00
_symmetry_space_group_name_H-M 'P 4/m b m'
_symmetry_Int_Tables_number 127
_symmetry_space_group_name_Hall '-P 4 2ab'
loop_
_atom_site_label
_atom_site_type_symbol
_atom_site_fract_x
_atom_site_fract_y
_atom_site_fract_z
_atom_site_occupancy
Mn1 Mn 0.0000 0.0000 0.0000 1
Cd1 Cd 0.1749 0.3251 0.5000 1
Cl1 Cl 0.1771 0.6771 0.0000 1
```

---

DFT (PBE) results for a relaxed TcTe3O9 crystal.

Computed properties:
raw formation energy: -1.02 eV/atom

```
data_TcTe3O9
_chemical_formula_sum 'Tc4 Te12 O36'
_cell_length_a 16.1736
_cell_length_b 6.2731
_cell_length_c 11.1965
_cell_angle_alpha 90.00
_cell_angle_beta 128.37
_cell_angle_gamma 90.00
_symmetry_space_group_name_H-M 'C 1 c 1'
_symmetry_Int_Tables_number 9
_symmetry_space_group_name_Hall 'C -2yc'
loop_
_atom_site_label
_atom_site_type_symbol
_atom_site_fract_x
_atom_site_fract_y
_atom_site_fract_z
_atom_site_occupancy
Tc1 Tc 0.0000 0.2454 0.0000 1
Te1 Te 0.2018 0.0691 0.5330 1
Te2 Te 0.2377 0.4852 0.8197 1
Te3 Te 0.4243 0.4802 0.7033 1
O1 O 0.0212 0.0584 0.1535 1
O2 O 0.0589 0.1551 0.4263 1
O3 O 0.1445 0.2526 0.1146 1
O4 O 0.2485 0.2655 0.4503 1
O5 O 0.2615 0.2246 0.7150 1
O6 O 0.3280 0.3316 0.0132 1
O7 O 0.3551 0.3882 0.3399 1
O8 O 0.4737 0.0099 0.5303 1
O9 O 0.4923 0.2574 0.3161 1
```

---

DFT (PBE) results for a relaxed Er2TmSc3S6 crystal.

Computed properties:
raw formation energy: -1.90 eV/atom
DOS at the Fermi energy: 5.69 states/eV/f.u.

```
data_Er2TmSc3S6
_chemical_formula_sum 'Er4 Tm2 Sc6 S12'
_cell_length_a 16.4290
_cell_length_b 3.7736
_cell_length_c 7.5680
_cell_angle_alpha 90.00
_cell_angle_beta 103.16
_cell_angle_gamma 90.00
_symmetry_space_group_name_H-M 'C 1 2/m 1'
_symmetry_Int_Tables_number 12
_symmetry_space_group_name_Hall '-C 2y'
loop_
_atom_site_label
_atom_site_type_symbol
_atom_site_fract_x
_atom_site_fract_y
_atom_site_fract_z
_atom_site_occupancy
Er1 Er 0.1670 0.0000 0.3337 1
Tm1 Tm 0.0000 0.5000 0.0000 1
Sc1 Sc 0.0000 0.5000 0.5000 1
Sc2 Sc 0.1670 0.0000 0.8327 1
S1 S 0.0027 0.0000 0.7449 1
S2 S 0.1637 0.5000 0.5898 1
S3 S 0.1688 0.5000 0.0760 1
```

---

DFT (PBE) results for a relaxed ZnMoPb crystal.

Computed properties:
E above lowest polymorph: 0.153 eV per atom
DOS at the Fermi energy: 3.13 states/eV/f.u.

```
data_ZnMoPb
_chemical_formula_sum 'Zn1 Mo1 Pb1'
_cell_length_a 4.6844
_cell_length_b 4.6844
_cell_length_c 3.0419
_cell_angle_alpha 90.00
_cell_angle_beta 90.00
_cell_angle_gamma 120.00
_symmetry_space_group_name_H-M 'P 3 m 1'
_symmetry_Int_Tables_number 156
_symmetry_space_group_name_Hall 'P 3 -2"'
loop_
_atom_site_label
_atom_site_type_symbol
_atom_site_fract_x
_atom_site_fract_y
_atom_site_fract_z
_atom_site_occupancy
Zn1 Zn 0.0000 0.0000 0.0000 1
Mo1 Mo 0.6667 0.3333 0.0388 1
Pb1 Pb 0.3333 0.6667 0.5304 1
```

---

DFT (PBE) results for a relaxed Np2Ga12Ag crystal.

Computed properties:
calculated total energy: -66.091 eV per formula unit
DOS at the Fermi energy: 26.46 states/eV/f.u.

```
data_Np2Ga12Ag
_chemical_formula_sum 'Np4 Ga24 Ag2'
_cell_length_a 6.1757
_cell_length_b 6.1757
_cell_length_c 15.3751
_cell_angle_alpha 90.00
_cell_angle_beta 90.00
_cell_angle_gamma 90.00
_symmetry_space_group_name_H-M 'P 4/n b m'
_symmetry_Int_Tables_number 125
loop_
_symmetry_equiv_pos_as_xyz
'x,y,z'
'-x,-y,-z'
'-y+1/2,x,z'
'y+1/2,-x,-z'
'-x+1/2,-y+1/2,z'
'x+1/2,y+1/2,-z'
'y,-x+1/2,z'
'-y,x+1/2,-z'
'x,-y+1/2,-z'
'-x,y+1/2,z'
'-y+1/2,-x+1/2,-z'
'y+1/2,x+1/2,z'
'-x+1/2,y,-z'
'x+1/2,-y,z'
'y,x,-z'
'-y,-x,z'
loop_
_atom_site_label
_atom_site_type_symbol
_atom_site_fract_x
_atom_site_fract_y
_atom_site_fract_z
_atom_site_occupancy
Np1 Np 0.2500 0.7500 0.2446 1
Ga1 Ga 0.0001 0.9999 0.0954 1
Ga2 Ga 0.0806 0.5806 0.4295 1
Ga3 Ga 0.2500 0.2500 0.1895 1
Ga4 Ga 0.2500 0.2500 0.3463 1
Ag1 Ag 0.2500 0.7500 0.0000 1
```

---

DFT (PBE) results for a relaxed Ac2LaPdRu crystal.

Computed properties:
calculated total energy: -29.893 eV per formula unit
DOS at the Fermi energy: 3.34 states/eV/f.u.

```
data_Ac2LaPdRu
_chemical_formula_sum 'Ac8 La4 Pd4 Ru4'
_cell_length_a 4.3123
_cell_length_b 13.7471
_cell_length_c 10.3959
_cell_angle_alpha 90.00
_cell_angle_beta 90.00
_cell_angle_gamma 90.00
_symmetry_space_group_name_H-M 'C m c m'
_symmetry_Int_Tables_number 63
_symmetry_space_group_name_Hall '-C 2c 2'
loop_
_atom_site_label
_atom_site_type_symbol
_atom_site_fract_x
_atom_site_fract_y
_atom_site_fract_z
_atom_site_occupancy
Ac1 Ac 0.0000 0.1399 0.0603 1
La1 La 0.0000 0.4199 0.2500 1
Pd1 Pd 0.0000 0.2399 0.7500 1
Ru1 Ru 0.0000 0.5000 0.0000 1
```

---

DFT (PBE) results for a relaxed NiAgP2 crystal.

Computed properties:
E above lowest polymorph: 0.442 eV per atom
DOS at the Fermi energy: 1.69 states/eV/f.u.

```
data_NiAgP2
_chemical_formula_sum 'Ni1 Ag1 P2'
_cell_length_a 3.5030
_cell_length_b 4.0647
_cell_length_c 4.0957
_cell_angle_alpha 90.00
_cell_angle_beta 90.00
_cell_angle_gamma 90.00
_symmetry_space_group_name_H-M 'P m m m'
_symmetry_Int_Tables_number 47
_symmetry_space_group_name_Hall '-P 2 2'
loop_
_atom_site_label
_atom_site_type_symbol
_atom_site_fract_x
_atom_site_fract_y
_atom_site_fract_z
_atom_site_occupancy
Ni1 Ni 0.0000 0.0000 0.0000 1
Ag1 Ag 0.0000 0.5000 0.5000 1
P1 P 0.5000 0.0000 0.5000 1
P2 P 0.5000 0.5000 0.0000 1
```

---

DFT (PBE) results for a relaxed MgTiSe2 crystal.

Computed properties:
raw formation energy: -0.44 eV/atom
DOS at the Fermi energy: 0.38 states/eV/f.u.

```
data_MgTiSe2
_chemical_formula_sum 'Mg3 Ti3 Se6'
_cell_length_a 3.8959
_cell_length_b 3.8959
_cell_length_c 23.3778
_cell_angle_alpha 90.00
_cell_angle_beta 90.00
_cell_angle_gamma 120.00
_symmetry_space_group_name_H-M 'R -3 m'
_symmetry_Int_Tables_number 166
_symmetry_space_group_name_Hall '-R 3 2"'
loop_
_atom_site_label
_atom_site_type_symbol
_atom_site_fract_x
_atom_site_fract_y
_atom_site_fract_z
_atom_site_occupancy
Mg1 Mg 0.0000 0.0000 0.0000 1
Ti1 Ti 0.0000 0.0000 0.5000 1
Se1 Se 0.0000 0.0000 0.3974 1
```

---

DFT (PBE) results for a relaxed KZr2TcF crystal.

Computed properties:
raw formation energy: 1.25 eV/atom
DOS at the Fermi energy: 5.68 states/eV/f.u.

```
data_KZr2TcF
_chemical_formula_sum 'K1 Zr2 Tc1 F1'
_cell_length_a 5.2093
_cell_length_b 5.2093
_cell_length_c 4.0248
_cell_angle_alpha 90.00
_cell_angle_beta 90.00
_cell_angle_gamma 90.00
_symmetry_space_group_name_H-M 'P 4/m m m'
_symmetry_Int_Tables_number 123
_symmetry_space_group_name_Hall '-P 4 2'
loop_
_atom_site_label
_atom_site_type_symbol
_atom_site_fract_x
_atom_site_fract_y
_atom_site_fract_z
_atom_site_occupancy
K1 K 0.0000 0.0000 0.0000 1
Zr1 Zr 0.0000 0.5000 0.0000 1
Tc1 Tc 0.5000 0.5000 0.5000 1
F1 F 0.0000 0.0000 0.5000 1
```

---

DFT (PBE) results for a relaxed Pm2ErS2O2 crystal.

Computed properties:
raw formation energy: -2.47 eV/atom
DOS at the Fermi energy: 2.24 states/eV/f.u.

```
data_Pm2ErS2O2
_chemical_formula_sum 'Pm4 Er2 S4 O4'
_cell_length_a 4.2432
_cell_length_b 4.2432
_cell_length_c 14.9107
_cell_angle_alpha 90.00
_cell_angle_beta 90.00
_cell_angle_gamma 90.00
_symmetry_space_group_name_H-M 'I 4/m m m'
_symmetry_Int_Tables_number 139
_symmetry_space_group_name_Hall '-I 4 2'
loop_
_atom_site_label
_atom_site_type_symbol
_atom_site_fract_x
_atom_site_fract_y
_atom_site_fract_z
_atom_site_occupancy
Pm1 Pm 0.0000 0.0000 0.1333 1
Er1 Er 0.0000 0.0000 0.5000 1
S1 S 0.0000 0.0000 0.3210 1
O1 O 0.0000 0.5000 0.0000 1
```

---

DFT (PBE) results for a relaxed VRe3Br crystal.

Computed properties:
E above lowest polymorph: 0.094 eV per atom
raw formation energy: 2.30 eV/atom
DOS at the Fermi energy: 6.91 states/eV/f.u.

```
data_VRe3Br
_chemical_formula_sum 'V1 Re3 Br1'
_cell_length_a 4.5224
_cell_length_b 4.5224
_cell_length_c 4.5224
_cell_angle_alpha 90.00
_cell_angle_beta 90.00
_cell_angle_gamma 90.00
_symmetry_space_group_name_H-M 'P m -3 m'
_symmetry_Int_Tables_number 221
_symmetry_space_group_name_Hall '-P 4 2 3'
loop_
_atom_site_label
_atom_site_type_symbol
_atom_site_fract_x
_atom_site_fract_y
_atom_site_fract_z
_atom_site_occupancy
V1 V 0.0000 0.0000 0.0000 1
Re1 Re 0.0000 0.5000 0.5000 1
Br1 Br 0.5000 0.5000 0.5000 1
```

---

DFT (PBE) results for a relaxed KY2Sc crystal.

Computed properties:
E above lowest polymorph: 0.094 eV per atom
DOS at the Fermi energy: 7.67 states/eV/f.u.

```
data_KY2Sc
_chemical_formula_sum 'K2 Y4 Sc2'
_cell_length_a 4.0103
_cell_length_b 5.6891
_cell_length_c 12.3727
_cell_angle_alpha 90.00
_cell_angle_beta 90.00
_cell_angle_gamma 90.00
_symmetry_space_group_name_H-M 'C m m 2'
_symmetry_Int_Tables_number 35
_symmetry_space_group_name_Hall 'C 2 -2'
loop_
_atom_site_label
_atom_site_type_symbol
_atom_site_fract_x
_atom_site_fract_y
_atom_site_fract_z
_atom_site_occupancy
K1 K 0.0000 0.0000 0.0000 1
Y1 Y 0.0000 0.0000 0.4838 1
Y2 Y 0.0000 0.5000 0.7084 1
Sc1 Sc 0.0000 0.5000 0.2794 1
```